A relaxed structure of LaAl3Zn. Source: Alexandria, functional PBE.

The structure belongs to space group Pm-3m (No. 221); the cell edges are 5.782, 5.782 and 5.782 Å and the angles 90.00°, 90.00° and 90.00°. The distinct sites, in fractional coordinates, are La at (0.000, 0.000, 0.000), Al at (0.000, 0.000, 0.500) and Zn at (0.500, 0.500, 0.500).

For the density of states at the Fermi level, the calculation gives 7.10 states/eV/cell. The value obtained for the formation energy is 1.3067 eV per atom.

***

A relaxed structure of La6AlZn5. Source: Alexandria, functional PBE.

The structure belongs to space group P2/m (No. 10); the cell edges are 5.316, 7.557 and 8.421 Å and the angles 90.00°, 108.44° and 90.00°. The distinct sites, in fractional coordinates, are La at (0.000, 0.249, 0.000), La at (0.334, 0.252, 0.666), Al at (0.500, 0.500, 0.000), Zn at (0.163, 0.500, 0.329), Zn at (0.165, 0.000, 0.333) and Zn at (0.500, 0.000, 0.000).

For the density of states at the Fermi level, the calculation gives 13.05 states/eV/cell. The value obtained for the formation energy is -0.3211 eV per atom.

***

Repeat the second record exactly.
A relaxed structure of La6AlZn5. Source: Alexandria, functional PBE.

The structure belongs to space group P2/m (No. 10); the cell edges are 5.316, 7.557 and 8.421 Å and the angles 90.00°, 108.44° and 90.00°. The distinct sites, in fractional coordinates, are La at (0.000, 0.249, 0.000), La at (0.334, 0.252, 0.666), Al at (0.500, 0.500, 0.000), Zn at (0.163, 0.500, 0.329), Zn at (0.165, 0.000, 0.333) and Zn at (0.500, 0.000, 0.000).

For the density of states at the Fermi level, the calculation gives 13.05 states/eV/cell. The value obtained for the formation energy is -0.3211 eV per atom.